[1]
VASP calculation (PBE) on an optimized crystal structure of LaIn2Ir.

Output
Spin magnetization, μB per formula unit: 0.00
DFT formation energy, eV/atom: 0.03
Energy, eV/cell: -19.14
N(E_F), states/eV per atom: 0.79

Cell and atoms, written as POSCAR:
```
LaIn2Ir
1.0
-3.102 1.186 4.883
-2.525 -2.295 -4.820
0.594 -2.955 1.095
Ir In La
1 2 1
direct
0.500 0.000 0.500
0.000 0.000 0.000
0.500 0.500 0.000
0.000 0.500 0.500
```



[2]
VASP calculation (PBE) on an optimized crystal structure of Pm4ErMg.

Output
Spin magnetization, μB per formula unit: 0.00
DFT formation energy, eV/atom: 0.09
Energy, eV/cell: -49.23
N(E_F), states/eV per atom: 1.46

Cell and atoms, written as POSCAR:
```
Pm4ErMg
1.0
9.157 -1.366 0.000
-3.366 4.884 0.000
-2.895 -1.759 9.521
Pm Mg Er
8 2 2
direct
0.724 0.573 0.431
0.207 0.858 0.431
0.545 0.282 0.087
0.959 0.195 0.913
0.793 0.142 0.569
0.041 0.805 0.087
0.276 0.427 0.569
0.455 0.718 0.913
0.134 0.884 0.767
0.866 0.116 0.233
0.628 0.378 0.756
0.372 0.622 0.244
```



[3]
VASP calculation (PBE) on an optimized crystal structure of PmZrAgHg.

Output
Spin magnetization, μB per formula unit: 1.29
DFT formation energy, eV/atom: -0.14
Energy, eV/cell: -17.01
N(E_F), states/eV per atom: 0.96

Cell and atoms, written as POSCAR:
```
PmZrAgHg
1.0
5.140 0.000 0.000
2.570 4.451 0.000
2.570 1.484 4.197
Zr Pm Ag Hg
1 1 1 1
direct
0.750 0.750 0.750
0.250 0.250 0.250
0.500 0.500 0.500
0.000 0.000 0.000
```